No. 1
Density functional theory data (PBE-GGA) for an optimized crystal structure of La2DyZn4.

Structure (POSCAR):
```
La2DyZn4
1.0
2.546 1.470 8.495
-2.546 1.470 8.495
0.000 -2.940 8.495
La Dy Zn
2 1 4
direct
0.245 0.245 0.245 La
0.755 0.755 0.755 La
0.000 0.000 0.000 Dy
0.123 0.123 0.123 Zn
0.371 0.371 0.371 Zn
0.629 0.629 0.629 Zn
0.877 0.877 0.877 Zn
```

* ΔH_f (0 K): -0.102 eV/atom
* total moment: 0.000 μB per cell
* DOS at the Fermi energy: 6.3 states/eV/f.u.

***

No. 2
Density functional theory data (PBE-GGA) for an optimized crystal structure of La6Dy2Zn.

Structure (POSCAR):
```
La6Dy2Zn
1.0
3.697 0.000 0.000
0.000 8.424 4.865
0.000 -8.424 4.865
La Dy Zn
6 2 1
direct
0.000 0.000 0.000 La
0.000 0.461 0.730 La
0.000 0.730 0.461 La
0.500 0.103 0.730 La
0.500 0.357 0.357 La
0.500 0.730 0.103 La
0.000 0.063 0.397 Dy
0.000 0.397 0.063 Dy
0.500 0.731 0.731 Zn
```

* ΔH_f (0 K): -0.043 eV/atom
* total moment: 0.000 μB per cell
* DOS at the Fermi energy: 14.6 states/eV/f.u.

***

No. 3
Density functional theory data (PBE-GGA) for an optimized crystal structure of La3DyZn8.

Structure (POSCAR):
```
La3DyZn8
1.0
2.809 1.622 9.125
-2.809 1.622 9.125
0.000 -3.243 9.125
La Dy Zn
3 1 8
direct
0.000 0.000 0.000 La
0.124 0.124 0.124 La
0.627 0.627 0.627 La
0.502 0.502 0.502 Dy
0.062 0.062 0.559 Zn
0.062 0.559 0.062 Zn
0.069 0.563 0.563 Zn
0.314 0.314 0.314 Zn
0.559 0.062 0.062 Zn
0.563 0.069 0.563 Zn
0.563 0.563 0.069 Zn
0.813 0.813 0.813 Zn
```

* ΔH_f (0 K): -0.326 eV/atom
* total moment: 0.000 μB per cell
* DOS at the Fermi energy: 4.9 states/eV/f.u.

***

No. 4
Density functional theory data (PBE-GGA) for an optimized crystal structure of LaDy2Zn9.

Structure (POSCAR):
```
LaDy2Zn9
1.0
2.755 1.591 8.618
-2.755 1.591 8.618
0.000 -3.182 8.618
La Dy Zn
1 2 9
direct
0.000 0.000 0.000 La
0.142 0.142 0.142 Dy
0.858 0.858 0.858 Dy
0.077 0.587 0.587 Zn
0.335 0.335 0.335 Zn
0.413 0.413 0.923 Zn
0.413 0.923 0.413 Zn
0.500 0.500 0.500 Zn
0.587 0.077 0.587 Zn
0.587 0.587 0.077 Zn
0.665 0.665 0.665 Zn
0.923 0.413 0.413 Zn
```

* ΔH_f (0 K): -0.325 eV/atom
* total moment: 0.000 μB per cell
* DOS at the Fermi energy: 8.2 states/eV/f.u.